## BeSi2SeBr (PBE)

Data for BeSi2SeBr after structural relaxation.

Geometry as CIF:
```
data_BeSi2SeBr
_chemical_formula_sum 'Be1 Si2 Se1 Br1'
_symmetry_space_group_name_H-M 'P 4/m m m'
_symmetry_Int_Tables_number 123
_symmetry_space_group_name_Hall '-P 4 2'
_cell_length_a 5.001
_cell_length_b 5.001
_cell_length_c 5.174
_cell_angle_alpha 90.00
_cell_angle_beta 90.00
_cell_angle_gamma 90.00
loop_
_atom_site_label
_atom_site_type_symbol
_atom_site_fract_x
_atom_site_fract_y
_atom_site_fract_z
Be1 Be 0.000 0.000 0.000
Si1 Si 0.000 0.500 0.500
Se1 Se 0.500 0.500 0.000
Br1 Br 0.500 0.500 0.500
```

Output
Density in kg/m³: 2875
Density of states at the Fermi level in states/eV/cell: 1.91
Crystal system: tetragonal
Magnetic moment in μB/cell: 0.00
Formation energy without anion corrections in eV per formula unit: 8.23